# Tb5Dy7Y (PBE-GGA, optimized geometry)
data_Tb5Dy7Y
_chemical_formula_sum 'Tb10 Dy14 Y2'
_space_group_name_H-M_alt 'I m m 2'
_space_group_IT_number 44
_cell_length_a 6.6663
_cell_length_b 11.1292
_cell_length_c 11.5443
_cell_angle_alpha 90.00
_cell_angle_beta 90.00
_cell_angle_gamma 90.00
loop_
_space_group_symop_operation_xyz
'x,y,z'
'-x,-y,z'
'-x,y,z'
'x,-y,z'
'x+1/2,y+1/2,z+1/2'
'-x+1/2,-y+1/2,z+1/2'
'-x+1/2,y+1/2,z+1/2'
'x+1/2,-y+1/2,z+1/2'
loop_
_atom_site_label
_atom_site_fract_x
_atom_site_fract_y
_atom_site_fract_z
Tb1 0.0000 0.0000 0.0000
Tb2 0.2318 0.2719 0.0061
Dy1 0.0000 0.0000 0.5041
Dy2 0.0000 0.1681 0.2544
Dy3 0.0000 0.1719 0.7539
Dy4 0.0000 0.5000 0.5103
Dy5 0.0000 0.5000 0.8143
Y1 0.0000 0.5000 0.2012
# electronic total energy = -4.5070 eV/atom
# M_tot = 0.00 μB/atom

# TbDy7Y12 (PBE-GGA, optimized geometry)
data_TbDy7Y12
_chemical_formula_sum 'Tb3 Dy21 Y36'
_space_group_name_H-M_alt 'R -3'
_space_group_IT_number 148
_space_group_name_Hall '-R 3'
_cell_length_a 18.5824
_cell_length_b 18.5824
_cell_length_c 6.7283
_cell_angle_alpha 90.00
_cell_angle_beta 90.00
_cell_angle_gamma 120.00
loop_
_atom_site_label
_atom_site_fract_x
_atom_site_fract_y
_atom_site_fract_z
Tb1 0.0000 0.0000 0.0000
Dy1 0.0000 0.0000 0.5000
Dy2 0.0095 0.8537 0.7866
Y1 0.0005 0.7894 0.2920
Y2 0.0077 0.4701 0.7371
# electronic total energy = -5.3868 eV/atom
# M_tot = 0.00 μB/atom

# Tb7DyY2 (PBE-GGA, optimized geometry)
data_Tb7DyY2
_chemical_formula_sum 'Tb7 Dy1 Y2'
_space_group_name_H-M_alt 'P -1'
_space_group_IT_number 2
_cell_length_a 6.1579
_cell_length_b 7.1245
_cell_length_c 7.9588
_cell_angle_alpha 77.06
_cell_angle_beta 75.03
_cell_angle_gamma 73.27
loop_
_space_group_symop_operation_xyz
'x,y,z'
'-x,-y,-z'
loop_
_atom_site_label
_atom_site_fract_x
_atom_site_fract_y
_atom_site_fract_z
Tb1 0.0000 0.0000 0.0000
Tb2 0.2001 0.8001 0.6005
Tb3 0.3985 0.1006 0.1991
Tb4 0.4003 0.6001 0.1989
Dy1 0.0000 0.5000 0.0000
Y1 0.2012 0.2995 0.5998
# electronic total energy = -4.9795 eV/atom
# M_tot = 0.00 μB/atom

# Tb3Dy8Y (PBE-GGA, optimized geometry)
data_Tb3Dy8Y
_chemical_formula_sum 'Tb6 Dy16 Y2'
_space_group_name_H-M_alt 'I 4/m m m'
_space_group_IT_number 139
_space_group_name_Hall '-I 4 2'
_cell_length_a 7.6876
_cell_length_b 7.6876
_cell_length_c 15.3794
_cell_angle_alpha 90.00
_cell_angle_beta 90.00
_cell_angle_gamma 90.00
loop_
_atom_site_label
_atom_site_fract_x
_atom_site_fract_y
_atom_site_fract_z
Tb1 0.0000 0.0000 0.0000
Tb2 0.0000 0.5000 0.2500
Dy1 0.2491 0.2491 0.1254
Y1 0.0000 0.0000 0.5000
# electronic total energy = -4.0254 eV/atom
# M_tot = 0.00 μB/atom

# TbDy7Y2 (PBE-GGA, optimized geometry)
data_TbDy7Y2
_chemical_formula_sum 'Tb2 Dy14 Y4'
_space_group_name_H-M_alt 'C m m m'
_space_group_IT_number 65
_space_group_name_Hall '-C 2 2'
_cell_length_a 6.4319
_cell_length_b 29.2377
_cell_length_c 3.4403
_cell_angle_alpha 90.00
_cell_angle_beta 90.00
_cell_angle_gamma 90.00
loop_
_atom_site_label
_atom_site_fract_x
_atom_site_fract_y
_atom_site_fract_z
Tb1 0.0000 0.0000 0.0000
Dy1 0.0000 0.3125 0.0000
Dy2 0.0000 0.5000 0.5000
Dy3 0.2433 0.0992 0.5000
Y1 0.0000 0.2082 0.5000
# electronic total energy = -4.7743 eV/atom
# M_tot = 0.00 μB/atom

# Tb4DyY4 (PBE-GGA, optimized geometry)
data_Tb4DyY4
_chemical_formula_sum 'Tb8 Dy2 Y8'
_space_group_name_H-M_alt 'C 1 2/m 1'
_space_group_IT_number 12
_cell_length_a 16.7781
_cell_length_b 5.5115
_cell_length_c 6.8036
_cell_angle_alpha 90.00
_cell_angle_beta 111.82
_cell_angle_gamma 90.00
loop_
_space_group_symop_operation_xyz
'x,y,z'
'-x,-y,-z'
'-x,y,-z'
'x,-y,z'
'x+1/2,y+1/2,z'
'-x+1/2,-y+1/2,-z'
'-x+1/2,y+1/2,-z'
'x+1/2,-y+1/2,z'
loop_
_atom_site_label
_atom_site_fract_x
_atom_site_fract_y
_atom_site_fract_z
Tb1 0.0731 0.0000 0.3892
Tb2 0.1372 0.5000 0.7066
Dy1 0.0000 0.5000 0.0000
Y1 0.1353 0.0000 0.9745
Y2 0.2193 0.5000 0.2983
# electronic total energy = -5.3386 eV/atom
# M_tot = 0.00 μB/atom

# Tb3DyY7 (PBE-GGA, optimized geometry)
data_Tb3DyY7
_chemical_formula_sum 'Tb3 Dy1 Y7'
_space_group_name_H-M_alt 'P 3 m 1'
_space_group_IT_number 156
_cell_length_a 7.0857
_cell_length_b 7.0857
_cell_length_c 8.6090
_cell_angle_alpha 90.00
_cell_angle_beta 90.00
_cell_angle_gamma 120.00
loop_
_space_group_symop_operation_xyz
'x,y,z'
'-y,x-y,z'
'-x+y,-x,z'
'-y,-x,z'
'-x+y,y,z'
'x,x-y,z'
loop_
_atom_site_label
_atom_site_fract_x
_atom_site_fract_y
_atom_site_fract_z
Tb1 0.9995 0.4998 0.0000
Dy1 0.6667 0.3333 0.3350
Y1 0.1676 0.3352 0.3330
Y2 0.3333 0.6667 0.6643
Y3 0.3358 0.1679 0.6656
# electronic total energy = -5.5994 eV/atom
# M_tot = 0.00 μB/atom

# Tb5Dy6Y2 (PBE-GGA, optimized geometry)
data_Tb5Dy6Y2
_chemical_formula_sum 'Tb10 Dy12 Y4'
_space_group_name_H-M_alt 'P b a m'
_space_group_IT_number 55
_cell_length_a 11.6425
_cell_length_b 20.2356
_cell_length_c 3.5719
_cell_angle_alpha 90.00
_cell_angle_beta 90.00
_cell_angle_gamma 90.00
loop_
_space_group_symop_operation_xyz
'x,y,z'
'-x,-y,-z'
'-x,-y,z'
'x,y,-z'
'x+1/2,-y+1/2,-z'
'-x+1/2,y+1/2,z'
'-x+1/2,y+1/2,-z'
'x+1/2,-y+1/2,z'
loop_
_atom_site_label
_atom_site_fract_x
_atom_site_fract_y
_atom_site_fract_z
Tb1 0.0000 0.0000 0.0000
Tb2 0.0916 0.2744 0.0000
Tb3 0.1991 0.5508 0.0000
Dy1 0.0588 0.4196 0.5000
Dy2 0.0816 0.1323 0.5000
Dy3 0.1738 0.8660 0.0000
Y1 0.1667 0.7109 0.5000
# electronic total energy = -4.8037 eV/atom
# M_tot = 0.00 μB/atom

# Tb4Dy4Y5 (PBE-GGA, optimized geometry)
data_Tb4Dy4Y5
_chemical_formula_sum 'Tb8 Dy8 Y10'
_space_group_name_H-M_alt 'I 4/m'
_space_group_IT_number 87
_space_group_name_Hall '-I 4'
_cell_length_a 12.8373
_cell_length_b 12.8373
_cell_length_c 5.0234
_cell_angle_alpha 90.00
_cell_angle_beta 90.00
_cell_angle_gamma 90.00
loop_
_atom_site_label
_atom_site_fract_x
_atom_site_fract_y
_atom_site_fract_z
Tb1 0.1546 0.2314 0.0000
Dy1 0.0764 0.6151 0.0000
Y1 0.0000 0.0000 0.0000
Y2 0.0380 0.8067 0.5000
# electronic total energy = -5.3084 eV/atom
# M_tot = 0.00 μB/atom

# TbDy4Y7 (PBE-GGA, optimized geometry)
data_TbDy4Y7
_chemical_formula_sum 'Tb1 Dy4 Y7'
_space_group_name_H-M_alt 'P -1'
_space_group_IT_number 2
_cell_length_a 6.5179
_cell_length_b 6.8044
_cell_length_c 9.0820
_cell_angle_alpha 85.99
_cell_angle_beta 76.70
_cell_angle_gamma 81.98
loop_
_space_group_symop_operation_xyz
'x,y,z'
'-x,-y,-z'
loop_
_atom_site_label
_atom_site_fract_x
_atom_site_fract_y
_atom_site_fract_z
Tb1 0.0000 0.0000 0.0000
Dy1 0.1610 0.6192 0.3079
Dy2 0.3594 0.1873 0.7163
Y1 0.0000 0.5000 0.0000
Y2 0.1895 0.1086 0.3871
Y3 0.3181 0.6942 0.6385
Y4 0.4861 0.2495 0.0506
# electronic total energy = -5.6026 eV/atom
# M_tot = 0.00 μB/atom

# Tb4DyY (PBE-GGA, optimized geometry)
data_Tb4DyY
_chemical_formula_sum 'Tb16 Dy4 Y4'
_space_group_name_H-M_alt 'F -4 3 m'
_space_group_IT_number 216
_space_group_name_Hall 'F -4 2 3'
_cell_length_a 9.2940
_cell_length_b 9.2940
_cell_length_c 9.2940
_cell_angle_alpha 90.00
_cell_angle_beta 90.00
_cell_angle_gamma 90.00
loop_
_atom_site_label
_atom_site_fract_x
_atom_site_fract_y
_atom_site_fract_z
Tb1 0.1250 0.1250 0.1250
Dy1 0.0000 0.0000 0.5000
Y1 0.2500 0.2500 0.7500
# electronic total energy = -4.6828 eV/atom
# M_tot = 0.01 μB/atom

# TbDy7Y5 (PBE-GGA, optimized geometry)
data_TbDy7Y5
_chemical_formula_sum 'Tb2 Dy14 Y10'
_space_group_name_H-M_alt 'I m m 2'
_space_group_IT_number 44
_cell_length_a 6.7132
_cell_length_b 11.1467
_cell_length_c 11.5388
_cell_angle_alpha 90.00
_cell_angle_beta 90.00
_cell_angle_gamma 90.00
loop_
_space_group_symop_operation_xyz
'x,y,z'
'-x,-y,z'
'-x,y,z'
'x,-y,z'
'x+1/2,y+1/2,z+1/2'
'-x+1/2,-y+1/2,z+1/2'
'-x+1/2,y+1/2,z+1/2'
'x+1/2,-y+1/2,z+1/2'
loop_
_atom_site_label
_atom_site_fract_x
_atom_site_fract_y
_atom_site_fract_z
Tb1 0.0000 0.0000 0.0000
Dy1 0.0000 0.0000 0.3927
Dy2 0.0000 0.0000 0.6967
Dy3 0.0000 0.3284 0.9466
Dy4 0.0000 0.3289 0.4464
Dy5 0.0000 0.5000 0.6968
Y1 0.0000 0.5000 0.1957
Y2 0.2324 0.2254 0.1968
# electronic total energy = -5.0487 eV/atom
# M_tot = 0.00 μB/atom